VASP calculation (PBE) on crystalline Ac2Cd5Ge3 at its relaxed geometry.

Its formation energy is -0.286 eV per atom. For the volume, the calculation gives 255.7 Å³/f.u. The value obtained for the magnetization is 0.0 μB/cell. As for the density of states at the Fermi level: 0.315 states/eV per atom.

The space group is P-4m2 (No. 115) and the conventional cell measures 4.849, 4.849 and 10.876 Å, with angles of 90.00, 90.00 and 90.00 degrees. The asymmetric unit holds Ac at (0.000, 0.500, 0.234), Cd at (0.000, 0.000, 0.500), Cd at (0.000, 0.500, 0.643), Cd at (0.500, 0.500, 0.000), Cd at (0.500, 0.500, 0.500), Ge at (0.000, 0.000, 0.000) and Ge at (0.000, 0.500, 0.889).